--- one ---
Compound: SrLiSc2
Source: the Alexandria database
Functional: PBE
Structure: relaxed

Properties
**M_tot**: 1.021 μB/f.u.

Lattice parameters (Å, degrees): 3.5974 3.5974 8.8223 90.00 90.00 90.00
Closest atoms and distances in Å follow each position.
Space group P4/mmm (No. 123)
Unique sites:
Sr 0.0000 0.0000 0.0000  4 Sr 3.60, 8 Sc 3.81
Li 0.0000 0.0000 0.5000  8 Sc 2.99
Sc 0.5000 0.5000 0.3210  4 Li 2.99, 1 Sc 3.16

--- two ---
Compound: SrLiSc2
Source: the Alexandria database
Functional: PBE
Structure: relaxed

Properties
**M_tot**: 0.000 μB/f.u.

Lattice parameters (Å, degrees): 3.7303 5.3607 5.7284 90.00 90.00 90.00
Closest atoms and distances in Å follow each position.
Space group Pmmm (No. 47)
Unique sites:
Sr 0.0000 0.0000 0.0000  4 Li 3.27, 4 Sc 3.42
Li 0.5000 0.5000 0.0000  4 Sr 3.27, 4 Sc 3.42
Sc 0.0000 0.5000 0.5000  4 Sc 3.27, 4 Li 3.42
Sc 0.5000 0.0000 0.5000  4 Sc 3.27, 4 Sr 3.42

--- three ---
Compound: SrLiSc2
Source: the Alexandria database
Functional: PBE
Structure: relaxed

Properties
**M_tot**: 0.937 μB/f.u.

Lattice parameters (Å, degrees): 3.4446 3.4446 33.4735 90.00 90.00 120.00
Closest atoms and distances in Å follow each position.
Space group R-3m (No. 166, hexagonal axes)
Unique sites:
Sr 0.0000 0.0000 0.0000  6 Sr 3.44, 6 Sc 3.70
Li 0.0000 0.0000 0.5000  6 Sc 3.16, 6 Li 3.44
Sc 0.0000 0.0000 0.2402  3 Li 3.16, 6 Sc 3.44

--- four ---
Compound: SrLiSc2
Source: the Alexandria database
Functional: PBE
Structure: relaxed

Properties
**M_tot**: 0.026 μB/f.u.

Lattice parameters (Å, degrees): 3.5564 5.4576 11.7259 90.00 90.00 90.00
Closest atoms and distances in Å follow each position.
Space group Immm (No. 71)
Unique sites:
Sr 0.0000 0.0000 0.0000  4 Li 3.26, 2 Sr 3.56
Li 0.0000 0.0000 0.5000  4 Sc 3.17, 4 Sr 3.26
Sc 0.0000 0.5000 0.2239  2 Li 3.17, 4 Sc 3.31

The data favor four; the next most stable structure lies 37 meV/atom above it.

--- one ---
Compound: SrLiSc2
Source: the Alexandria database
Functional: PBE
Structure: relaxed

Properties
**M_tot**: 1.971 μB/f.u.

Lattice parameters (Å, degrees): 4.5372 4.5372 11.5091 90.00 90.00 90.00
Closest atoms and distances in Å follow each position.
Space group I4/mmm (No. 139)
Unique sites:
Sr 0.0000 0.0000 0.0000  4 Li 3.21
Li 0.0000 0.0000 0.5000  4 Sr 3.21
Sc 0.0000 0.5000 0.2500  4 Sc 3.21

--- two ---
Compound: SrLiSc2
Source: the Alexandria database
Functional: PBE
Structure: relaxed

Properties
**M_tot**: 0.953 μB/f.u.

Lattice parameters (Å, degrees): 11.6400 3.4937 5.9747 90.00 108.00 90.00
Closest atoms and distances in Å follow each position.
Space group Cm (No. 8)
Unique sites:
Sr 0.0000 0.0000 0.0000  3 Li 3.27-3.32, 4 Sc 3.44-3.53, 2 Sr 3.49
Li 0.2498 0.5000 0.1563  6 Sc 3.19-3.55, 3 Sr 3.27-3.32, 2 Li 3.49
Sc 0.2081 0.0000 0.6206  5 Sc 3.21-3.49, 4 Li 3.44-3.55
Sc 0.4649 0.0000 0.4872  2 Li 3.19, 5 Sc 3.21-3.49, 4 Sr 3.44-3.53

The data favor two; the next most stable structure lies 54 meV/atom above it.

--- one ---
Compound: SrLiSc2
Source: the Alexandria database
Functional: PBE
Structure: relaxed

Properties
**M_tot**: 0.001 μB/f.u.

Lattice parameters (Å, degrees): 5.2346 5.2346 21.7759 90.00 90.00 90.00
Closest atoms and distances in Å follow each position.
Space group I4_1/amd (No. 141, origin choice 2)
Unique sites:
Sr 0.0000 0.2500 0.3750  4 Li 3.70, 8 Sc 4.00
Li 0.0000 0.2500 0.8750  4 Sc 3.02
Sc 0.0000 0.0000 0.0000  2 Sc 2.62

--- two ---
Compound: SrLiSc2
Source: the Alexandria database
Functional: PBE
Structure: relaxed

Properties
**M_tot**: 0.356 μB/f.u.

Lattice parameters (Å, degrees): 6.3514 10.8557 3.3984 90.00 90.00 90.00
Closest atoms and distances in Å follow each position.
Space group Cmmm (No. 65)
Unique sites:
Sr 0.0000 0.0000 0.0000  2 Li 3.18, 2 Sr 3.40
Li 0.0000 0.5000 0.0000  2 Sr 3.18, 2 Li 3.40
Sc 0.2500 0.2500 0.5000  4 Sc 3.18-3.40

The data favor two; the next most stable structure lies 412 meV/atom above it.

--- one ---
Compound: SrLiSc2
Source: the Alexandria database
Functional: PBE
Structure: relaxed

Properties
**M_tot**: 0.286 μB/f.u.

Lattice parameters (Å, degrees): 3.5068 3.5068 33.2983 90.00 90.00 120.00
Closest atoms and distances in Å follow each position.
Space group R3m (No. 160, hexagonal axes)
Unique sites:
Sr 0.0000 0.0000 0.0000  6 Sr 3.51, 3 Li 3.63, 3 Sc 3.68
Li 0.0000 0.0000 0.2428  3 Sc 3.27, 6 Li 3.51, 3 Sr 3.63
Sc 0.0000 0.0000 0.4988  9 Sc 3.17-3.51, 3 Li 3.27
Sc 0.0000 0.0000 0.7589  9 Sc 3.17-3.51

--- two ---
Compound: SrLiSc2
Source: the Alexandria database
Functional: PBE
Structure: relaxed

Properties
**M_tot**: 0.254 μB/f.u.

Lattice parameters (Å, degrees): 3.3547 5.4458 6.3111 90.00 90.00 90.00
Closest atoms and distances in Å follow each position.
Space group Pmmm (No. 47)
Unique sites:
Sr 0.0000 0.0000 0.0000  2 Li 3.16, 2 Sr 3.35
Li 0.0000 0.0000 0.5000  2 Sr 3.16, 2 Li 3.35, 8 Sc 3.53
Sc 0.5000 0.5000 0.2639  2 Sc 2.98-3.33

The data favor one; the next most stable structure lies 134 meV/atom above it.

--- one ---
Compound: SrLiSc2
Source: the Alexandria database
Functional: PBE
Structure: relaxed

Properties
**M_tot**: 1.079 μB/f.u.

Lattice parameters (Å, degrees): 3.3796 3.3796 34.8838 90.00 90.00 120.00
Closest atoms and distances in Å follow each position.
Space group R-3m (No. 166, hexagonal axes)
Unique sites:
Sr 0.0000 0.0000 0.0000  2 Sc 3.32, 6 Sr 3.38
Li 0.0000 0.0000 0.5000  6 Sc 3.17, 6 Li 3.38
Sc 0.0000 0.0000 0.0952  3 Li 3.17, 1 Sr 3.32, 6 Sc 3.38

--- two ---
Compound: SrLiSc2
Source: the Alexandria database
Functional: PBE
Structure: relaxed

Properties
**M_tot**: 0.788 μB/f.u.

Lattice parameters (Å, degrees): 3.6222 3.6222 8.8918 90.00 90.00 90.00
Closest atoms and distances in Å follow each position.
Space group P4mm (No. 99)
Unique sites:
Sr 0.0000 0.0000 0.0000  4 Li 3.61, 4 Sr 3.62, 4 Sc 3.76
Li 0.5000 0.5000 0.2863  4 Sc 3.10
Sc 0.0000 0.0000 0.4817  4 Li 3.10, 4 Sc 3.16
Sc 0.5000 0.5000 0.6908  4 Sc 3.16

The data favor two; the next most stable structure lies 284 meV/atom above it.

--- one ---
Compound: SrLiSc2
Source: the Alexandria database
Functional: PBE
Structure: relaxed

Properties
**M_tot**: 0.685 μB/f.u.

Lattice parameters (Å, degrees): 4.5562 4.5562 5.6053 90.00 90.00 90.00
Closest atoms and distances in Å follow each position.
Space group P4/mmm (No. 123)
Unique sites:
Sr 0.0000 0.0000 0.0000  4 Li 3.22
Li 0.5000 0.5000 0.0000  4 Sr 3.22
Sc 0.0000 0.5000 0.5000  4 Sc 3.22

--- two ---
Compound: SrLiSc2
Source: the Alexandria database
Functional: PBE
Structure: relaxed

Properties
**M_tot**: 0.000 μB/f.u.

Lattice parameters (Å, degrees): 7.6930 7.6930 7.6930 90.00 90.00 90.00
Closest atoms and distances in Å follow each position.
Space group Fm-3m (No. 225)
Unique sites:
Sr 0.0000 0.0000 0.0000  8 Sc 3.33
Li 0.0000 0.0000 0.5000  8 Sc 3.33
Sc 0.2500 0.2500 0.2500  4 Li 3.33, 4 Sr 3.33

The data favor one; the next most stable structure lies 116 meV/atom above it.

--- one ---
Compound: Sr2LiSc
Source: the Alexandria database
Functional: PBE
Structure: relaxed

Properties
**M_tot**: 0.532 μB/f.u.

Lattice parameters (Å, degrees): 5.0995 5.0995 11.5287 90.00 90.00 90.00
Closest atoms and distances in Å follow each position.
Space group I-4m2 (No. 119)
Unique sites:
Sr 0.0000 0.0000 0.0000  4 Sc 3.61, 4 Li 3.85, 4 Sr 3.85
Sr 0.0000 0.5000 0.2500  4 Li 3.61, 4 Sc 3.85, 4 Sr 3.85
Li 0.0000 0.5000 0.7500  8 Sr 3.61-3.85, 4 Sc 3.85
Sc 0.0000 0.0000 0.5000  8 Sr 3.61-3.85, 4 Li 3.85

--- two ---
Compound: Sr2LiSc
Source: the Alexandria database
Functional: PBE
Structure: relaxed

Properties
**M_tot**: 0.000 μB/f.u.

Lattice parameters (Å, degrees): 8.4337 8.4337 8.4337 90.00 90.00 90.00
Closest atoms and distances in Å follow each position.
Space group Fm-3m (No. 225)
Unique sites:
Sr 0.2500 0.2500 0.2500  4 Li 3.65, 4 Sc 3.65
Li 0.0000 0.0000 0.0000  8 Sr 3.65
Sc 0.0000 0.0000 0.5000  8 Sr 3.65

--- three ---
Compound: Sr2LiSc
Source: the Alexandria database
Functional: PBE
Structure: relaxed

Properties
**M_tot**: 0.000 μB/f.u.

Lattice parameters (Å, degrees): 4.0273 6.0407 6.0408 90.00 90.00 90.00
Closest atoms and distances in Å follow each position.
Space group Pmm2 (No. 25)
Unique sites:
Sr 0.0000 0.0000 0.0000  4 Li 3.63, 4 Sc 3.63, 2 Sr 4.03
Sr 0.0000 0.5000 0.4983  4 Sc 3.63, 4 Li 3.63, 2 Sr 4.03
Li 0.5000 0.0000 0.5002  8 Sr 3.63, 2 Li 4.03
Sc 0.5000 0.5000 0.9981  8 Sr 3.63, 2 Sc 4.03

The data favor three; the next most stable structure lies 57 meV/atom above it.

--- one ---
Compound: SrLiSc
Source: the Alexandria database
Functional: PBE
Structure: relaxed

Properties
**M_tot**: 0.509 μB/f.u.

Lattice parameters (Å, degrees): 13.0720 3.6916 8.3452 90.00 110.12 90.00
Closest atoms and distances in Å follow each position.
Space group Cm (No. 8)
Unique sites:
Sr 0.0000 0.0000 0.0000  3 Li 3.47-3.61, 4 Sc 3.66-3.73, 2 Sr 3.69
Sr 0.1855 0.5000 0.7683  4 Sc 3.56-3.83, 4 Li 3.59-3.81, 3 Sr 3.69-3.89
Li 0.0028 0.0000 0.4169  2 Li 3.04, 4 Sc 3.17-3.35
Li 0.3304 0.0000 0.1848  2 Li 3.04, 3 Sc 3.15-3.24
Sc 0.1978 0.5000 0.3486  2 Sc 3.10, 4 Li 3.15-3.35
Sc 0.3735 0.0000 0.5912  2 Sc 3.10, 3 Li 3.17-3.24

--- two ---
Compound: SrLiSc
Source: the Alexandria database
Functional: PBE
Structure: relaxed

Properties
**M_tot**: 0.683 μB/f.u.

Lattice parameters (Å, degrees): 7.4988 7.4988 7.4988 90.00 90.00 90.00
Closest atoms and distances in Å follow each position.
Space group F-43m (No. 216)
Unique sites:
Sr 0.0000 0.0000 0.0000  4 Li 3.25
Li 0.2500 0.2500 0.7500  4 Sc 3.25, 4 Sr 3.25
Sc 0.0000 0.0000 0.5000  4 Li 3.25

--- three ---
Compound: SrLiSc
Source: the Alexandria database
Functional: PBE
Structure: relaxed

Properties
**M_tot**: 0.000 μB/f.u.

Lattice parameters (Å, degrees): 13.8831 3.9264 7.0432 90.00 90.20 90.00
Closest atoms and distances in Å follow each position.
Space group Cm (No. 8)
Unique sites:
Sr 0.0000 0.0000 0.0000  4 Li 3.63-3.79, 5 Sc 3.66-3.80, 2 Sr 3.93
Sr 0.1268 0.5000 0.4793  4 Li 3.54-3.81, 4 Sc 3.68-3.80, 2 Sr 3.93
Li 0.3258 0.0000 0.7286  2 Li 2.79, 2 Sc 2.97
Li 0.4156 0.5000 0.5110  2 Li 2.79, 2 Sc 2.98
Sc 0.2264 0.5000 0.9772  2 Li 2.97, 2 Sc 3.06
Sc 0.3195 0.0000 0.2553  2 Li 2.98, 2 Sc 3.06

--- four ---
Compound: SrLiSc
Source: the Alexandria database
Functional: PBE
Structure: relaxed

Properties
**M_tot**: 0.006 μB/f.u.

Lattice parameters (Å, degrees): 12.0504 5.5127 5.7295 90.00 90.15 90.00
Closest atoms and distances in Å follow each position.
Space group C2 (No. 5)
Unique sites:
Sr 0.0000 0.0000 0.0000  6 Sc 3.58-3.74, 4 Li 3.72-3.75, 4 Sr 3.97-3.98
Sr 0.0000 0.4977 0.5000  6 Li 3.63-3.66, 4 Sc 3.66-3.67, 4 Sr 3.97-3.98
Li 0.1985 0.9959 0.4974  2 Li 3.02, 2 Sc 3.16
Sc 0.1900 0.5012 0.0020  2 Sc 3.11, 2 Li 3.16

The data favor one; the next most stable structure lies 20 meV/atom above it.

--- one ---
Compound: SrLiSc
Source: the Alexandria database
Functional: PBE
Structure: relaxed

Properties
**M_tot**: 0.796 μB/f.u.

Lattice parameters (Å, degrees): 3.7586 3.7586 13.0993 90.00 90.00 90.00
Closest atoms and distances in Å follow each position.
Space group I4mm (No. 107)
Unique sites:
Sr 0.0000 0.0000 0.0000  4 Li 3.55, 4 Sr 3.76, 5 Sc 3.77-3.87
Li 0.0000 0.0000 0.3209  4 Sc 3.06
Sc 0.0000 0.0000 0.7044  4 Li 3.06

--- two ---
Compound: SrLiSc
Source: the Alexandria database
Functional: PBE
Structure: relaxed

Properties
**M_tot**: 0.000 μB/f.u.

Lattice parameters (Å, degrees): 5.6147 5.6147 3.4790 90.00 90.00 120.00
Closest atoms and distances in Å follow each position.
Space group P3m1 (No. 156)
Unique sites:
Sr 0.0000 0.0000 0.0000  3 Li 3.43, 2 Sr 3.48, 3 Sc 3.54
Li 0.6667 0.3333 0.3188  3 Sc 3.38, 3 Sr 3.43, 2 Li 3.48
Sc 0.3333 0.6667 0.5914  3 Li 3.38, 2 Sc 3.48, 3 Sr 3.54

The data favor one; the next most stable structure lies 108 meV/atom above it.

--- one ---
Compound: SrLi2Sc
Source: the Alexandria database
Functional: PBE
Structure: relaxed

Properties
**M_tot**: 0.195 μB/f.u.

Lattice parameters (Å, degrees): 3.6957 3.6957 8.2584 90.00 90.00 90.00
Closest atoms and distances in Å follow each position.
Space group P4mm (No. 99)
Unique sites:
Sr 0.0000 0.0000 0.0000  5 Li 3.61-3.81, 4 Sr 3.70, 4 Sc 3.74
Li 0.0000 0.0000 0.4614  4 Li 2.93, 4 Sc 3.15
Li 0.5000 0.5000 0.3018  4 Li 2.93, 1 Sc 3.08
Sc 0.5000 0.5000 0.6752  5 Li 3.08-3.15

--- two ---
Compound: SrLi2Sc
Source: the Alexandria database
Functional: PBE
Structure: relaxed

Properties
**M_tot**: 0.008 μB/f.u.

Lattice parameters (Å, degrees): 7.6784 7.6867 3.7874 90.00 90.00 90.00
Closest atoms and distances in Å follow each position.
Space group Cmmm (No. 65)
Unique sites:
Sr 0.0000 0.0000 0.0000  8 Li 3.31
Li 0.2500 0.2500 0.5000  4 Sc 3.31, 4 Sr 3.31
Sc 0.0000 0.5000 0.0000  8 Li 3.31

The data favor one; the next most stable structure lies 46 meV/atom above it.

--- one ---
Compound: SrLi2Sc
Source: the Alexandria database
Functional: PBE
Structure: relaxed

Properties
**M_tot**: 1.020 μB/f.u.

Lattice parameters (Å, degrees): 4.6278 4.6278 10.8560 90.00 90.00 90.00
Closest atoms and distances in Å follow each position.
Space group I-4m2 (No. 119)
Unique sites:
Sr 0.0000 0.0000 0.0000  8 Li 3.27-3.57, 4 Sc 3.57
Li 0.0000 0.0000 0.5000  4 Sr 3.27, 4 Li 3.57, 4 Sc 3.57
Li 0.0000 0.5000 0.7500  4 Sc 3.27, 4 Li 3.57, 4 Sr 3.57
Sc 0.0000 0.5000 0.2500  8 Li 3.27-3.57, 4 Sr 3.57

--- two ---
Compound: SrLi2Sc
Source: the Alexandria database
Functional: PBE
Structure: relaxed

Properties
**M_tot**: 0.002 μB/f.u.

Lattice parameters (Å, degrees): 7.7149 7.7149 7.7149 90.00 90.00 90.00
Closest atoms and distances in Å follow each position.
Space group F-43m (No. 216)
Unique sites:
Sr 0.0000 0.0000 0.0000  4 Li 3.34, 4 Sc 3.34
Li 0.0000 0.0000 0.5000  4 Sc 3.34, 4 Li 3.34
Li 0.2500 0.2500 0.2500  4 Li 3.34, 4 Sr 3.34
Sc 0.2500 0.2500 0.7500  4 Li 3.34, 4 Sr 3.34

--- three ---
Compound: SrLi2Sc
Source: the Alexandria database
Functional: PBE
Structure: relaxed

Properties
**M_tot**: 0.000 μB/f.u.

Lattice parameters (Å, degrees): 7.6853 7.6853 7.6853 90.00 90.00 90.00
Closest atoms and distances in Å follow each position.
Space group Fm-3m (No. 225)
Unique sites:
Sr 0.0000 0.0000 0.0000  8 Li 3.33
Li 0.2500 0.2500 0.2500  4 Sc 3.33, 4 Sr 3.33
Sc 0.0000 0.0000 0.5000  8 Li 3.33

The data favor three; the next most stable structure lies 82 meV/atom above it.